(1)
{"formula": "Pa2RePd", "functional": "GGA-PBE", "state": "optimized geometry", "e_above_lowest_polymorph_ev_per_atom": 0.000, "crystal_system": "tetragonal", "formation_energy_ev_per_atom": -0.223, "n_ef_per_ev_cell": 6.18, "cell": [[3.310, 0.000, 0.000], [0.000, 3.310, 0.000], [0.000, 0.000, 7.670]], "species": ["Pa", "Pa", "Re", "Pd"], "frac_coords": [[0.000, 0.000, 0.236], [0.000, 0.000, 0.764], [0.500, 0.500, 0.000], [0.500, 0.500, 0.500]]}

=====

(2)
{"formula": "Pa2RePd", "functional": "GGA-PBE", "state": "optimized geometry", "e_above_lowest_polymorph_ev_per_atom": 0.331, "crystal_system": "trigonal", "formation_energy_ev_per_atom": 0.108, "n_ef_per_ev_cell": 10.64, "cell": [[3.090, 0.000, 0.000], [-1.545, 2.676, 0.000], [0.000, 0.000, 30.089]], "species": ["Pa", "Pa", "Pa", "Pa", "Pa", "Pa", "Re", "Re", "Re", "Pd", "Pd", "Pd"], "frac_coords": [[0.000, 0.000, 0.090], [0.000, 0.000, 0.910], [0.333, 0.667, 0.577], [0.333, 0.667, 0.756], [0.667, 0.333, 0.244], [0.667, 0.333, 0.423], [0.000, 0.000, 0.500], [0.333, 0.667, 0.167], [0.667, 0.333, 0.833], [0.000, 0.000, 0.000], [0.333, 0.667, 0.667], [0.667, 0.333, 0.333]]}

=====

(3)
{"formula": "ScPaRePd", "functional": "GGA-PBE", "state": "optimized geometry", "crystal_system": "cubic", "formation_energy_ev_per_atom": -0.348, "n_ef_per_ev_cell": 16.36, "cell": [[6.775, 0.000, 0.000], [0.000, 6.775, 0.000], [0.000, 0.000, 6.775]], "species": ["Sc", "Sc", "Sc", "Sc", "Pa", "Pa", "Pa", "Pa", "Re", "Re", "Re", "Re", "Pd", "Pd", "Pd", "Pd"], "frac_coords": [[0.000, 0.000, 0.000], [0.000, 0.500, 0.500], [0.500, 0.000, 0.500], [0.500, 0.500, 0.000], [0.000, 0.000, 0.500], [0.000, 0.500, 0.000], [0.500, 0.000, 0.000], [0.500, 0.500, 0.500], [0.250, 0.250, 0.750], [0.250, 0.750, 0.250], [0.750, 0.250, 0.250], [0.750, 0.750, 0.750], [0.250, 0.250, 0.250], [0.250, 0.750, 0.750], [0.750, 0.250, 0.750], [0.750, 0.750, 0.250]]}

=====

Please write out number 3 again, unchanged.
{"formula": "ScPaRePd", "functional": "GGA-PBE", "state": "optimized geometry", "crystal_system": "cubic", "formation_energy_ev_per_atom": -0.348, "n_ef_per_ev_cell": 16.36, "cell": [[6.775, 0.000, 0.000], [0.000, 6.775, 0.000], [0.000, 0.000, 6.775]], "species": ["Sc", "Sc", "Sc", "Sc", "Pa", "Pa", "Pa", "Pa", "Re", "Re", "Re", "Re", "Pd", "Pd", "Pd", "Pd"], "frac_coords": [[0.000, 0.000, 0.000], [0.000, 0.500, 0.500], [0.500, 0.000, 0.500], [0.500, 0.500, 0.000], [0.000, 0.000, 0.500], [0.000, 0.500, 0.000], [0.500, 0.000, 0.000], [0.500, 0.500, 0.500], [0.250, 0.250, 0.750], [0.250, 0.750, 0.250], [0.750, 0.250, 0.250], [0.750, 0.750, 0.750], [0.250, 0.250, 0.250], [0.250, 0.750, 0.750], [0.750, 0.250, 0.750], [0.750, 0.750, 0.250]]}

=====

Repeat the second record exactly.
{"formula": "Pa2RePd", "functional": "GGA-PBE", "state": "optimized geometry", "e_above_lowest_polymorph_ev_per_atom": 0.331, "crystal_system": "trigonal", "formation_energy_ev_per_atom": 0.108, "n_ef_per_ev_cell": 10.64, "cell": [[3.090, 0.000, 0.000], [-1.545, 2.676, 0.000], [0.000, 0.000, 30.089]], "species": ["Pa", "Pa", "Pa", "Pa", "Pa", "Pa", "Re", "Re", "Re", "Pd", "Pd", "Pd"], "frac_coords": [[0.000, 0.000, 0.090], [0.000, 0.000, 0.910], [0.333, 0.667, 0.577], [0.333, 0.667, 0.756], [0.667, 0.333, 0.244], [0.667, 0.333, 0.423], [0.000, 0.000, 0.500], [0.333, 0.667, 0.167], [0.667, 0.333, 0.833], [0.000, 0.000, 0.000], [0.333, 0.667, 0.667], [0.667, 0.333, 0.333]]}